This record from Alexandria via LeMat-Bulk describes a relaxed structure of Mn5Be2P. The functional is GGA-PBE.

The structure in POSCAR format:
```
Mn5Be2P
1.0
-4.849 0.940 2.692
-2.790 -2.662 -4.095
4.359 -3.596 3.231
Mn Be P
10 4 2
Direct
0.514 0.689 0.703
0.811 0.986 0.297
0.000 0.000 0.000
0.500 0.500 0.000
0.189 0.014 0.703
0.689 0.189 0.703
0.014 0.514 0.703
0.311 0.811 0.297
0.986 0.486 0.297
0.486 0.311 0.297
0.129 0.371 0.000
0.629 0.129 0.000
0.371 0.871 0.000
0.871 0.629 0.000
0.750 0.750 0.500
0.250 0.250 0.500
```

* space-group type: I4/mcm, No. 140
* magnetization: 0.939 μB/atom
* final energy: -7.587 eV/atom